No. 1
Below is a relaxed Y4CuBiC2 crystal, with properties calculated at the GGA-PBE level.

a b c (Å): 3.6655 3.6655 14.6764
angles (deg): 90.00 90.00 120.00
Sites, in units of the cell vectors:
Cu1 0.6667 0.3333 0.0000
Y1 0.6667 0.3333 0.6788
Y2 0.6667 0.3333 0.3212
Y3 0.3333 0.6667 0.1399
Y4 0.3333 0.6667 0.8601
C1 0.0000 0.0000 0.7667
C2 0.0000 0.0000 0.2333
Bi1 0.3333 0.6667 0.5000

Values from the calculation:
SG	P-6m2, No. 187
final energy	-6.895	eV per atom



No. 2
Below is a relaxed Y4CuBiC2 crystal, with properties calculated at the GGA-PBE level.

a b c (Å): 3.6649 3.6649 14.6971
angles (deg): 90.00 90.00 120.00
Sites, in units of the cell vectors:
Y1 0.0000 0.0000 0.6404
Y2 0.0000 0.0000 0.3596
C1 0.3333 0.6667 0.2665
Y3 0.6667 0.3333 0.8214
Y4 0.6667 0.3333 0.1786
Bi1 0.0000 0.0000 0.0000
Cu1 0.6667 0.3333 0.5000
C2 0.3333 0.6667 0.7335

Values from the calculation:
SG	P-6m2, No. 187
final energy	-6.895	eV per atom



No. 3
Below is a relaxed Hf4FeBiC2 crystal, with properties calculated at the GGA-PBE level.

a b c (Å): 3.3292 3.3292 13.8575
angles (deg): 90.00 90.00 120.00
Sites, in units of the cell vectors:
Bi1 0.3333 0.6667 0.5000
C1 0.0000 0.0000 0.7632
Hf1 0.3333 0.6667 0.8625
Fe1 0.6667 0.3333 0.0000
Hf2 0.6667 0.3333 0.6793
C2 0.0000 0.0000 0.2368
Hf3 0.3333 0.6667 0.1375
Hf4 0.6667 0.3333 0.3207

Values from the calculation:
SG	P-6m2, No. 187
final energy	-9.284	eV per atom



> Which of these has the lowest final energy?

Hf4FeBiC2